(1)
Material: ZrSe2
Method: DFT, GGA-PBE
State: optimized geometry

Output
uncorrected formation energy	-1.01	eV per atom
D(E_F)	6.57	states/eV per cell

Unit cell a=6.3048 b=6.3048 c=6.3500 alpha=90.00 beta=90.00 gamma=90.00
Space group I4/mcm (No. 140)
One atom of each set of equivalent atoms:
1 Zr 0.0000 0.0000 0.2500 x4
2 Se 0.1617 0.3383 0.0000 x8

---

(2)
Material: ZrSe
Method: DFT, GGA-PBE
State: optimized geometry

Output
uncorrected formation energy	-0.76	eV per atom
D(E_F)	8.77	states/eV per cell

Unit cell a=3.7884 b=3.7884 c=12.0596 alpha=90.00 beta=90.00 gamma=90.00
Space group I4_1/amd (No. 141, origin choice 2)
One atom of each set of equivalent atoms:
1 Zr 0.0000 0.2500 0.3750 x4
2 Se 0.0000 0.2500 0.8750 x4

---

(3)
Material: Zr3Se
Method: DFT, GGA-PBE
State: optimized geometry

Output
uncorrected formation energy	-0.27	eV per atom
D(E_F)	22.43	states/eV per cell
polymorph energy (0 for the lowest one)	425.8	meV per atom

Unit cell a=4.1145 b=4.1145 c=19.7916 alpha=90.00 beta=90.00 gamma=90.00
Space group I4/mmm (No. 139)
One atom of each set of equivalent atoms:
1 Zr 0.0000 0.0000 0.1239 x4
2 Zr 0.0000 0.5000 0.0000 x4
3 Zr 0.0000 0.5000 0.2500 x4
4 Se 0.0000 0.0000 0.3888 x4

---

- Which value of uncorrected formation energy does entry 3 give?
  -0.27 eV per atom

---

- What is the formula in the first record?
  ZrSe2

---

- The lowest D(E_F) belongs to which entry?
  ZrSe2